6
Lattice="3.605 0.000 0.000 0.000 3.605 0.000 0.000 0.000 9.905" Properties=species:S:1:pos:R:3 comment="AcCuRh, optimized geometry, DFT PBE-GGA" crystal_system=tetragonal dos_at_fermi_per_ev_cell=4.98 final_energy_ev_per_atom=-5.3301 de_polymorph_ev_per_atom=0.2889 magmom_total_mub_per_fu=0.00 formation_enthalpy_0k_kcal_per_mol_atoms=-3.3 pbc="T T T"
Ac 0.000 0.000 0.000
Ac 1.803 1.803 4.953
Cu 0.000 0.000 2.924
Cu 1.803 1.803 7.877
Rh 0.000 0.000 6.921
Rh 1.803 1.803 1.968